# 1
# V2CrFeH | the Alexandria database | GGA-PBE | relaxed
data_V2CrFeH
_chemical_formula_sum 'V2 Cr1 Fe1 H1'
_cell_length_a 4.0066
_cell_length_b 4.0066
_cell_length_c 3.1636
_cell_angle_alpha 90.00
_cell_angle_beta 90.00
_cell_angle_gamma 90.00
_space_group_name_H-M_alt 'P 4/m m m'
_space_group_IT_number 123
_space_group_name_Hall '-P 4 2'
loop_
_atom_site_label
_atom_site_type_symbol
_atom_site_fract_x
_atom_site_fract_y
_atom_site_fract_z
V1 V 0.0000 0.5000 0.0000
Cr1 Cr 0.0000 0.0000 0.5000
Fe1 Fe 0.5000 0.5000 0.5000
H1 H 0.5000 0.5000 0.0000
# Magnetization = 0.344 μB per formula unit
# ΔE to the lowest computed polymorph = 0 meV per atom
# Density = 6.9 g/cm3
# DOS at the Fermi energy = 4.3 states/eV/f.u.
# Final energy = -0.586 Ry per atom

=====

# 2
# AcDy5Sb6 | the Alexandria database | GGA-PBE | relaxed
data_AcDy5Sb6
_chemical_formula_sum 'Ac2 Dy10 Sb12'
_cell_length_a 7.7227
_cell_length_b 13.3783
_cell_length_c 7.7251
_cell_angle_alpha 90.00
_cell_angle_beta 109.60
_cell_angle_gamma 90.00
_space_group_name_H-M_alt 'C 1 2/m 1'
_space_group_IT_number 12
_space_group_name_Hall '-C 2y'
loop_
_atom_site_label
_atom_site_type_symbol
_atom_site_fract_x
_atom_site_fract_y
_atom_site_fract_z
Ac1 Ac 0.0000 0.0000 0.0000
Dy1 Dy 0.0000 0.1618 0.5000
Dy2 Dy 0.0000 0.3317 0.0000
Dy3 Dy 0.0000 0.5000 0.5000
Sb1 Sb 0.2380 0.5000 0.2546
Sb2 Sb 0.2401 0.3269 0.7406
# Magnetization = 0.000 μB per formula unit
# Density = 7.8 g/cm3
# ΔE_f (raw) = -1.121 eV/atom
# DOS at the Fermi energy = 1.8 states/eV/f.u.
# Final energy = -0.400 Ry per atom

=====

> Among the records above, which one has the lowest magnetization?

AcDy5Sb6

=====

> Number 2 is which compound?

AcDy5Sb6

=====

> Among the records above, which one has the lowest magnetization?

AcDy5Sb6